Computed, not measured: an optimized crystal structure of SrNiO at the PBE+U level of DFT.

The electronic total energy comes out at -3.97 eV per atom. Its magnetic moment is 0.000 μB/cell. The calculation puts the density of states at the Fermi level at 0.000 states/eV/atom.

The space group is P2_1 (No. 4) and the conventional cell measures 4.944, 3.360 and 6.287 Å, with angles of 90.00, 113.01 and 90.00 degrees. The asymmetric unit holds Sr at (0.158, 0.000, 0.316), Ni at (0.428, 0.015, 0.857) and O at (0.312, 0.496, 0.624).